<one>
! LiBe2Cu | Alexandria | GGA-PBE | optimized geometry; values from VASP
&SYSTEM
  ibrav = 0, nat = 4, ntyp = 3
/
ATOMIC_SPECIES
Li 6.94 Li.upf
Be 9.01 Be.upf
Cu 63.55 Cu.upf
CELL_PARAMETERS angstrom
2.375 0.000 0.000
0.000 3.558 0.000
0.000 0.000 4.861
ATOMIC_POSITIONS crystal
Li 0.000 0.000 0.000
Be 0.000 0.000 0.484
Be 0.500 0.500 0.269
Cu 0.500 0.500 0.728
! Total magnetic moment   0.0 Bohr magnetons per cell


<two>
! LiBe2Cu | Alexandria | GGA-PBE | optimized geometry; values from VASP
&SYSTEM
  ibrav = 0, nat = 4, ntyp = 3
/
ATOMIC_SPECIES
Li 6.94 Li.upf
Be 9.01 Be.upf
Cu 63.55 Cu.upf
CELL_PARAMETERS angstrom
2.347 -3.845 0.000
2.347 3.845 0.000
-0.813 0.000 2.238
ATOMIC_POSITIONS crystal
Li 0.000 0.000 0.000
Be 0.000 0.500 0.500
Be 0.500 0.000 0.500
Cu 0.500 0.500 0.000
! Total magnetic moment   0.0 Bohr magnetons per cell


<three>
! LiBe2Cu | Alexandria | GGA-PBE | optimized geometry; values from VASP
&SYSTEM
  ibrav = 0, nat = 4, ntyp = 3
/
ATOMIC_SPECIES
Li 6.94 Li.upf
Be 9.01 Be.upf
Cu 63.55 Cu.upf
CELL_PARAMETERS angstrom
1.328 -1.981 0.000
1.328 1.981 0.000
0.000 0.000 8.056
ATOMIC_POSITIONS crystal
Li 0.000 0.000 0.000
Be 0.500 0.500 0.263
Be 0.500 0.500 0.737
Cu 0.000 0.000 0.500
! Total magnetic moment   0.0 Bohr magnetons per cell


Energetically preferred structure: <one> | next structure: +17 meV/atom


<one>
! LiBe2Cu | Alexandria | GGA-PBE | optimized geometry; values from VASP
&SYSTEM
  ibrav = 0, nat = 4, ntyp = 3
/
ATOMIC_SPECIES
Li 6.94 Li.upf
Be 9.01 Be.upf
Cu 63.55 Cu.upf
CELL_PARAMETERS angstrom
2.374 0.000 0.000
0.000 3.807 0.000
-0.853 0.000 4.490
ATOMIC_POSITIONS crystal
Li 0.000 0.000 0.000
Be 0.516 0.000 0.489
Be 0.770 0.500 0.265
Cu 0.263 0.500 0.734
! Total magnetic moment   0.0 Bohr magnetons per cell


<two>
! LiBe2Cu | Alexandria | GGA-PBE | optimized geometry; values from VASP
&SYSTEM
  ibrav = 0, nat = 4, ntyp = 3
/
ATOMIC_SPECIES
Li 6.94 Li.upf
Be 9.01 Be.upf
Cu 63.55 Cu.upf
CELL_PARAMETERS angstrom
2.771 0.000 0.000
0.000 3.790 0.000
0.000 0.000 3.792
ATOMIC_POSITIONS crystal
Li 0.000 0.000 0.000
Be 0.000 0.500 0.500
Be 0.500 0.500 0.000
Cu 0.500 0.000 0.500
! Total magnetic moment   0.0 Bohr magnetons per cell


Energetically preferred structure: <one> | next structure: +15 meV/atom


<one>
! LiBe2Cu | Alexandria | GGA-PBE | optimized geometry; values from VASP
&SYSTEM
  ibrav = 0, nat = 4, ntyp = 3
/
ATOMIC_SPECIES
Li 6.94 Li.upf
Be 9.01 Be.upf
Cu 63.55 Cu.upf
CELL_PARAMETERS angstrom
-1.671 1.671 3.590
1.671 -1.671 3.590
1.671 1.671 -3.590
ATOMIC_POSITIONS crystal
Li 0.000 0.000 0.000
Be 0.250 0.750 0.500
Be 0.500 0.500 0.000
Cu 0.750 0.250 0.500
! Total magnetic moment   0.0 Bohr magnetons per cell


<two>
! LiBe2Cu | Alexandria | GGA-PBE | optimized geometry; values from VASP
&SYSTEM
  ibrav = 0, nat = 4, ntyp = 3
/
ATOMIC_SPECIES
Li 6.94 Li.upf
Be 9.01 Be.upf
Cu 63.55 Cu.upf
CELL_PARAMETERS angstrom
0.000 2.710 2.710
2.710 0.000 2.710
2.710 2.710 0.000
ATOMIC_POSITIONS crystal
Li 0.000 0.000 0.000
Be 0.250 0.250 0.250
Be 0.500 0.500 0.500
Cu 0.750 0.750 0.750
! Total magnetic moment   0.0 Bohr magnetons per cell


Energetically preferred structure: <two> | next structure: +14 meV/atom


<one>
! Li2BeCu2 | Alexandria | GGA-PBE | optimized geometry; values from VASP
&SYSTEM
  ibrav = 0, nat = 10, ntyp = 3
/
ATOMIC_SPECIES
Li 6.94 Li.upf
Be 9.01 Be.upf
Cu 63.55 Cu.upf
CELL_PARAMETERS angstrom
6.626 0.000 0.000
0.000 6.626 0.000
0.000 0.000 2.681
ATOMIC_POSITIONS crystal
Li 0.123 0.377 0.000
Li 0.377 0.877 0.000
Li 0.623 0.123 0.000
Li 0.877 0.623 0.000
Be 0.000 0.000 0.000
Be 0.500 0.500 0.000
Cu 0.180 0.680 0.500
Cu 0.320 0.180 0.500
Cu 0.680 0.820 0.500
Cu 0.820 0.320 0.500
! Total magnetic moment   0.0 Bohr magnetons per cell


<two>
! Li2BeCu2 | Alexandria | GGA-PBE | optimized geometry; values from VASP
&SYSTEM
  ibrav = 0, nat = 10, ntyp = 3
/
ATOMIC_SPECIES
Li 6.94 Li.upf
Be 9.01 Be.upf
Cu 63.55 Cu.upf
CELL_PARAMETERS angstrom
5.636 0.000 0.000
0.000 5.636 0.000
0.000 0.000 4.229
ATOMIC_POSITIONS crystal
Li 0.173 0.327 0.000
Li 0.327 0.827 0.000
Li 0.673 0.173 0.000
Li 0.827 0.673 0.000
Be 0.000 0.000 0.500
Be 0.500 0.500 0.500
Cu 0.148 0.648 0.500
Cu 0.352 0.148 0.500
Cu 0.648 0.852 0.500
Cu 0.852 0.352 0.500
! Total magnetic moment   0.0 Bohr magnetons per cell


Energetically preferred structure: <two> | next structure: +153 meV/atom


<one>
! LiBeCu | Alexandria | GGA-PBE | optimized geometry; values from VASP
&SYSTEM
  ibrav = 0, nat = 3, ntyp = 3
/
ATOMIC_SPECIES
Li 6.94 Li.upf
Be 9.01 Be.upf
Cu 63.55 Cu.upf
CELL_PARAMETERS angstrom
0.000 2.696 2.696
2.696 0.000 2.696
2.696 2.696 0.000
ATOMIC_POSITIONS crystal
Li 0.000 0.000 0.000
Be 0.250 0.250 0.250
Cu 0.500 0.500 0.500
! Total magnetic moment   0.0 Bohr magnetons per cell


<two>
! LiBeCu | Alexandria | GGA-PBE | optimized geometry; values from VASP
&SYSTEM
  ibrav = 0, nat = 3, ntyp = 3
/
ATOMIC_SPECIES
Li 6.94 Li.upf
Be 9.01 Be.upf
Cu 63.55 Cu.upf
CELL_PARAMETERS angstrom
0.000 2.044 6.152
1.352 0.000 6.152
1.352 2.044 0.000
ATOMIC_POSITIONS crystal
Li 0.000 0.000 0.000
Be 0.672 0.672 0.328
Cu 0.323 0.323 0.677
! Total magnetic moment   0.0 Bohr magnetons per cell


<three>
! LiBeCu | Alexandria | GGA-PBE | optimized geometry; values from VASP
&SYSTEM
  ibrav = 0, nat = 6, ntyp = 3
/
ATOMIC_SPECIES
Li 6.94 Li.upf
Be 9.01 Be.upf
Cu 63.55 Cu.upf
CELL_PARAMETERS angstrom
-2.241 2.458 3.195
2.241 -2.458 3.195
2.241 2.458 -3.195
ATOMIC_POSITIONS crystal
Li 0.377 0.127 0.250
Li 0.623 0.873 0.750
Be 0.000 0.000 0.500
Be 0.000 0.500 0.000
Cu 0.000 0.500 0.500
Cu 0.500 0.500 0.000
! Total magnetic moment   0.0 Bohr magnetons per cell


Energetically preferred structure: <three> | next structure: +130 meV/atom


<one>
! LiBeCu4 | Alexandria | GGA-PBE | optimized geometry; values from VASP
&SYSTEM
  ibrav = 0, nat = 6, ntyp = 3
/
ATOMIC_SPECIES
Li 6.94 Li.upf
Be 9.01 Be.upf
Cu 63.55 Cu.upf
CELL_PARAMETERS angstrom
0.000 3.383 3.383
3.383 0.000 3.383
3.383 3.383 0.000
ATOMIC_POSITIONS crystal
Li 0.000 0.000 0.000
Be 0.250 0.250 0.250
Cu 0.126 0.625 0.625
Cu 0.625 0.126 0.625
Cu 0.625 0.625 0.126
Cu 0.625 0.625 0.625
! Total magnetic moment   0.0 Bohr magnetons per cell


<two>
! LiBeCu4 | Alexandria | GGA-PBE | optimized geometry; values from VASP
&SYSTEM
  ibrav = 0, nat = 12, ntyp = 3
/
ATOMIC_SPECIES
Li 6.94 Li.upf
Be 9.01 Be.upf
Cu 63.55 Cu.upf
CELL_PARAMETERS angstrom
4.473 0.000 0.000
-0.728 4.502 0.000
-1.599 -0.279 6.833
ATOMIC_POSITIONS crystal
Li 0.206 0.361 0.454
Li 0.794 0.639 0.546
Be 0.325 0.126 0.051
Be 0.675 0.874 0.949
Cu 0.059 0.846 0.259
Cu 0.106 0.682 0.890
Cu 0.370 0.901 0.633
Cu 0.489 0.594 0.189
Cu 0.511 0.406 0.811
Cu 0.630 0.099 0.367
Cu 0.894 0.318 0.110
Cu 0.941 0.154 0.741
! Total magnetic moment   0.0 Bohr magnetons per cell


Energetically preferred structure: <two> | next structure: +184 meV/atom


<one>
! Lu2BeCu | Alexandria | GGA-PBE | optimized geometry; values from VASP
&SYSTEM
  ibrav = 0, nat = 4, ntyp = 3
/
ATOMIC_SPECIES
Lu 174.97 Lu.upf
Be 9.01 Be.upf
Cu 63.55 Cu.upf
CELL_PARAMETERS angstrom
0.000 3.363 3.363
3.363 0.000 3.363
3.363 3.363 0.000
ATOMIC_POSITIONS crystal
Lu 0.250 0.250 0.250
Lu 0.750 0.750 0.750
Be 0.000 0.000 0.000
Cu 0.500 0.500 0.500
! Total magnetic moment   0.0 Bohr magnetons per cell


<two>
! Lu2BeCu | Alexandria | GGA-PBE | optimized geometry; values from VASP
&SYSTEM
  ibrav = 0, nat = 4, ntyp = 3
/
ATOMIC_SPECIES
Lu 174.97 Lu.upf
Be 9.01 Be.upf
Cu 63.55 Cu.upf
CELL_PARAMETERS angstrom
3.357 0.000 0.000
0.000 3.357 0.000
0.000 0.000 6.728
ATOMIC_POSITIONS crystal
Lu 0.000 0.000 0.245
Lu 0.000 0.000 0.755
Be 0.500 0.500 0.000
Cu 0.500 0.500 0.500
! Total magnetic moment   0.0 Bohr magnetons per cell


Energetically preferred structure: <two> | next structure: +14 meV/atom


<one>
! MgBe3Cu | Alexandria | GGA-PBE | optimized geometry; values from VASP
&SYSTEM
  ibrav = 0, nat = 5, ntyp = 3
/
ATOMIC_SPECIES
Mg 24.30 Mg.upf
Be 9.01 Be.upf
Cu 63.55 Cu.upf
CELL_PARAMETERS angstrom
4.077 0.000 0.000
0.000 4.077 0.000
0.000 0.000 4.077
ATOMIC_POSITIONS crystal
Mg 0.000 0.000 0.000
Be 0.000 0.500 0.500
Be 0.500 0.000 0.500
Be 0.500 0.500 0.000
Cu 0.500 0.500 0.500
! Total magnetic moment   0.0 Bohr magnetons per cell


<two>
! MgBe3Cu | Alexandria | GGA-PBE | optimized geometry; values from VASP
&SYSTEM
  ibrav = 0, nat = 5, ntyp = 3
/
ATOMIC_SPECIES
Mg 24.30 Mg.upf
Be 9.01 Be.upf
Cu 63.55 Cu.upf
CELL_PARAMETERS angstrom
4.356 0.000 0.000
0.000 4.356 0.000
0.000 0.000 4.356
ATOMIC_POSITIONS crystal
Mg 0.000 0.000 0.000
Be 0.000 0.000 0.500
Be 0.000 0.500 0.000
Be 0.500 0.000 0.000
Cu 0.500 0.500 0.500
! Total magnetic moment   0.0 Bohr magnetons per cell


Energetically preferred structure: <one> | next structure: +1148 meV/atom